[1]
VASP calculation (PBE) on an optimized crystal structure of Mn2GaGe.

Output
Final energy   -6.45 eV per atom
Volume   14.1 Å³/atom
Symmetry   P2/m

a = 4.4027 Å, b = 2.8360 Å, c = 4.8956 Å
α = 90.00°, β = 112.29°, γ = 90.00°
Last column: nearest neighbours and their distance in Å.
Fractional coordinates of all 4 atoms:
Mn: 0.8984 0.0000 0.8907  2 Ge 2.60, 4 Ga 2.62, 6 Mn 2.83-2.84
Ga: 0.3983 0.5000 0.8906  6 Mn 2.60-2.62, 4 Ge 2.83, 2 Ga 2.84
Ge: 0.3987 0.0000 0.3908  6 Mn 2.60-2.62, 4 Ga 2.83, 2 Ge 2.84
Mn: 0.8985 0.5000 0.3905  2 Ga 2.60, 4 Ge 2.62, 6 Mn 2.83-2.84

[2]
VASP calculation (PBE) on an optimized crystal structure of Mn2GaGe.

Output
Final energy   -6.45 eV per atom
Volume   14.9 Å³/atom
Symmetry   Pm

a = 3.6570 Å, b = 2.7091 Å, c = 6.2713 Å
α = 90.00°, β = 106.76°, γ = 90.00°
Last column: nearest neighbours and their distance in Å.
Fractional coordinates of all 4 atoms:
Ge: 0.1160 0.5000 0.0220  6 Mn 2.51-2.60, 2 Ge 2.71, 1 Ga 2.76
Ga: 0.3426 0.5000 0.4809  8 Mn 2.55-2.72, 2 Ga 2.71, 1 Ge 2.76
Mn: 0.7194 0.0000 0.2321  4 Ge 2.60, 3 Mn 2.64-2.71, 4 Ga 2.72
Mn: 0.9367 0.0000 0.6711  2 Ge 2.51, 4 Ga 2.55, 3 Mn 2.64-2.71

[3]
VASP calculation (PBE) on an optimized crystal structure of Mn4GaGe.

Output
Final energy   -7.20 eV per atom
Volume   12.9 Å³/atom
Symmetry   Pbam

a = 2.6105 Å, b = 7.0863 Å, c = 16.7961 Å
α = 90.00°, β = 90.00°, γ = 90.00°
Last column: nearest neighbours and their distance in Å.
Fractional coordinates of all 24 atoms:
Mn: 0.5000 0.7761 0.4413  5 Mn 2.45-2.61, 4 Ga 2.68-2.70
Mn: 0.5000 0.7683 0.1941  3 Mn 2.31-2.42
Mn: 0.5000 0.0633 0.6880  3 Mn 2.31-2.45
Mn: 0.5000 0.9303 0.0671  6 Mn 2.42-2.61, 2 Ga 2.63, 2 Ge 2.65
Mn: 0.5000 0.2683 0.3059  3 Mn 2.31-2.42
Ge: 0.0000 0.6044 0.3170  2 Ge 2.61, 12 Mn 2.65-2.79
Ge: 0.0000 0.8956 0.8170  2 Ge 2.61, 12 Mn 2.65-2.79
Mn: 0.5000 0.4303 0.4329  6 Mn 2.42-2.61, 2 Ga 2.63, 2 Ge 2.65
Mn: 0.5000 0.2317 0.8059  3 Mn 2.31-2.42
Mn: 0.5000 0.5633 0.8120  3 Mn 2.31-2.45
Mn: 0.5000 0.4367 0.1880  3 Mn 2.31-2.45
Ga: 0.0000 0.3917 0.9282  3 Ga 2.61-2.86, 10 Mn 2.63-2.70
Mn: 0.5000 0.9367 0.3120  3 Mn 2.31-2.45
Ge: 0.0000 0.1044 0.1830  2 Ge 2.61, 12 Mn 2.65-2.79
Mn: 0.5000 0.2239 0.5587  5 Mn 2.45-2.61, 4 Ga 2.68-2.70
Mn: 0.5000 0.7239 0.9413  5 Mn 2.45-2.61, 4 Ga 2.68-2.70
Mn: 0.5000 0.2761 0.0587  5 Mn 2.45-2.61, 4 Ga 2.68-2.70
Ga: 0.0000 0.6083 0.0718  3 Ga 2.61-2.86, 10 Mn 2.63-2.70
Ga: 0.0000 0.8917 0.5718  3 Ga 2.61-2.86, 10 Mn 2.63-2.70
Mn: 0.5000 0.7317 0.6941  3 Mn 2.31-2.42
Mn: 0.5000 0.5697 0.5671  6 Mn 2.42-2.61, 2 Ga 2.63, 2 Ge 2.65
Ge: 0.0000 0.3956 0.6830  2 Ge 2.61, 12 Mn 2.65-2.79
Ga: 0.0000 0.1083 0.4282  3 Ga 2.61-2.86, 10 Mn 2.63-2.70
Mn: 0.5000 0.0697 0.9329  6 Mn 2.42-2.61, 2 Ga 2.63, 2 Ge 2.65

[4]
VASP calculation (PBE) on an optimized crystal structure of Mn2GaGe.

Output
Final energy   -6.51 eV per atom
Volume   13.8 Å³/atom
Symmetry   Pmm2

a = 3.9709 Å, b = 2.8362 Å, c = 4.9173 Å
α = 90.00°, β = 90.00°, γ = 90.00°
Last column: nearest neighbours and their distance in Å.
Fractional coordinates of all 4 atoms:
Mn: 0.5000 0.5000 0.6886  2 Ge 2.56, 4 Ga 2.58, 6 Mn 2.81-2.86
Ge: 0.0000 0.5000 0.0164  6 Mn 2.56-2.57, 4 Ga 2.83-2.85, 2 Ge 2.84
Mn: 0.5000 0.0000 0.1828  4 Ge 2.57, 2 Ga 2.58, 6 Mn 2.81-2.86
Ga: 0.0000 0.0000 0.5183  6 Mn 2.58, 4 Ge 2.83-2.85, 2 Ga 2.84

[5]
VASP calculation (PBE) on an optimized crystal structure of Mn2GaGe.

Output
Final energy   -6.41 eV per atom
Volume   14.2 Å³/atom
Symmetry   R3m

a = 2.8092 Å, b = 2.8092 Å, c = 25.0150 Å
α = 90.00°, β = 90.00°, γ = 120.00°
Last column: nearest neighbours and their distance in Å.
Fractional coordinates of all 12 atoms:
Mn: 0.6667 0.3333 0.2469  3 Mn 2.48, 3 Ga 2.56
Ge: 0.3333 0.6667 0.0659  3 Mn 2.53, 1 Ga 2.54, 6 Ge 2.81
Mn: 0.0000 0.0000 0.9136  3 Mn 2.48, 3 Ga 2.56
Mn: 0.0000 0.0000 0.6550  3 Mn 2.48, 3 Ge 2.53
Ga: 0.3333 0.6667 0.1675  1 Ge 2.54, 3 Mn 2.56, 6 Ga 2.81
Mn: 0.3333 0.6667 0.3217  3 Mn 2.48, 3 Ge 2.53
Mn: 0.6667 0.3333 0.9883  3 Mn 2.48, 3 Ge 2.53
Ge: 0.0000 0.0000 0.3992  3 Mn 2.53, 1 Ga 2.54, 6 Ge 2.81
Ga: 0.0000 0.0000 0.5009  1 Ge 2.54, 3 Mn 2.56, 6 Ga 2.81
Ge: 0.6667 0.3333 0.7326  3 Mn 2.53, 1 Ga 2.54, 6 Ge 2.81
Mn: 0.3333 0.6667 0.5803  3 Mn 2.48, 3 Ga 2.56
Ga: 0.6667 0.3333 0.8342  1 Ge 2.54, 3 Mn 2.56, 6 Ga 2.81

[6]
VASP calculation (PBE) on an optimized crystal structure of Mn4GaGe2.

Output
Final energy   -6.92 eV per atom
Volume   14.1 Å³/atom
Symmetry   Cmcm

a = 4.3532 Å, b = 4.2301 Å, c = 12.5328 Å
α = 90.00°, β = 90.00°, γ = 120.97°
Last column: nearest neighbours and their distance in Å.
Fractional coordinates of all 14 atoms:
Ge: 0.8453 0.6906 0.9372  7 Mn 2.38-2.63
Ga: 0.4503 0.9007 0.2500  3 Mn 2.44-2.52
Mn: 0.7938 0.5876 0.3588  4 Ge 2.58-2.80, 3 Mn 2.63-2.77, 3 Ga 2.81-2.84
Ge: 0.1547 0.3094 0.4372  7 Mn 2.38-2.63
Ga: 0.5497 0.0993 0.7500  3 Mn 2.44-2.52
Mn: 0.8968 0.7937 0.7500  2 Ge 2.38, 3 Ga 2.44-2.52, 2 Mn 2.63
Mn: 0.7938 0.5876 0.1412  4 Ge 2.58-2.80, 3 Mn 2.63-2.77, 3 Ga 2.81-2.84
Mn: 0.5000 0.0000 0.5000  6 Ge 2.57-2.63, 2 Mn 2.77
Mn: 0.2062 0.4124 0.6412  4 Ge 2.58-2.80, 3 Mn 2.63-2.77, 3 Ga 2.81-2.84
Ge: 0.8453 0.6906 0.5628  7 Mn 2.38-2.63
Ge: 0.1547 0.3094 0.0628  7 Mn 2.38-2.63
Mn: 0.5000 0.0000 0.0000  6 Ge 2.57-2.63, 2 Mn 2.77
Mn: 0.2062 0.4124 0.8588  4 Ge 2.58-2.80, 3 Mn 2.63-2.77, 3 Ga 2.81-2.84
Mn: 0.1032 0.2063 0.2500  2 Ge 2.38, 3 Ga 2.44-2.52, 2 Mn 2.63